[1]
VASP calculation (PBE) on a relaxed structure of RbZr2Sn2.

The formation energy is -0.174 eV/atom.

Cell and atoms, written as CIF:
```
data_RbZr2Sn2
_chemical_formula_sum 'Rb2 Zr4 Sn4'
_space_group_name_H-M_alt 'P 4/m b m'
_space_group_IT_number 127
_space_group_name_Hall '-P 4 2ab'
_cell_length_a 9.158
_cell_length_b 9.158
_cell_length_c 3.188
_cell_angle_alpha 90.00
_cell_angle_beta 90.00
_cell_angle_gamma 90.00
loop_
_atom_site_label
_atom_site_type_symbol
_atom_site_fract_x
_atom_site_fract_y
_atom_site_fract_z
_atom_site_occupancy
Rb1 Rb 0.000 0.000 0.000 1
Zr1 Zr 0.121 0.379 0.000 1
Sn1 Sn 0.168 0.668 0.500 1
```



[2]
VASP calculation (PBE) on a relaxed structure of Ba3Na3Sr2.

The formation energy is 0.013 eV/atom.

Cell and atoms, written as CIF:
```
data_Ba3Na3Sr2
_chemical_formula_sum 'Ba6 Na6 Sr4'
_space_group_name_H-M_alt 'I m m m'
_space_group_IT_number 71
_space_group_name_Hall '-I 2 2'
_cell_length_a 4.609
_cell_length_b 6.764
_cell_length_c 27.153
_cell_angle_alpha 90.00
_cell_angle_beta 90.00
_cell_angle_gamma 90.00
loop_
_atom_site_label
_atom_site_type_symbol
_atom_site_fract_x
_atom_site_fract_y
_atom_site_fract_z
_atom_site_occupancy
Ba1 Ba 0.000 0.000 0.000 1
Ba2 Ba 0.000 0.500 0.124 1
Na1 Na 0.000 0.000 0.500 1
Na2 Na 0.000 0.500 0.377 1
Sr1 Sr 0.000 0.000 0.237 1
```



[3]
VASP calculation (PBE) on a relaxed structure of Sr2CaRe.

The formation energy is 0.904 eV/atom.

Cell and atoms, written as CIF:
```
data_Sr2CaRe
_chemical_formula_sum 'Sr8 Ca4 Re4'
_space_group_name_H-M_alt 'F -4 3 m'
_space_group_IT_number 216
_space_group_name_Hall 'F -4 2 3'
_cell_length_a 7.845
_cell_length_b 7.845
_cell_length_c 7.845
_cell_angle_alpha 90.00
_cell_angle_beta 90.00
_cell_angle_gamma 90.00
loop_
_atom_site_label
_atom_site_type_symbol
_atom_site_fract_x
_atom_site_fract_y
_atom_site_fract_z
_atom_site_occupancy
Sr1 Sr 0.000 0.000 0.000 1
Sr2 Sr 0.250 0.250 0.250 1
Ca1 Ca 0.000 0.000 0.500 1
Re1 Re 0.250 0.250 0.750 1
```



[4]
VASP calculation (PBE) on a relaxed structure of Rb2ZnI6O.

As for the formation energy (no corrections): -0.54 eV per atom.

Cell and atoms, written as CIF:
```
data_Rb2ZnI6O
_chemical_formula_sum 'Rb4 Zn2 I12 O2'
_space_group_name_H-M_alt 'I 4/m m m'
_space_group_IT_number 139
_space_group_name_Hall '-I 4 2'
_cell_length_a 7.990
_cell_length_b 7.990
_cell_length_c 11.832
_cell_angle_alpha 90.00
_cell_angle_beta 90.00
_cell_angle_gamma 90.00
loop_
_atom_site_label
_atom_site_type_symbol
_atom_site_fract_x
_atom_site_fract_y
_atom_site_fract_z
_atom_site_occupancy
Rb1 Rb 0.000 0.500 0.250 1
Zn1 Zn 0.000 0.000 0.000 1
I1 I 0.000 0.000 0.214 1
I2 I 0.219 0.219 0.500 1
O1 O 0.000 0.000 0.500 1
```